DFT (GGA-PBE) results for a relaxed structure of ErPbNO.

a = 3.8082 Å, b = 6.3451 Å, c = 6.3593 Å
α = 90.00°, β = 90.00°, γ = 90.00°
Last column: nearest neighbours and their distance in Å.
Space group Pmc2_1 (No. 26)
Inequivalent atoms, fractional coordinates:
Er1 0.0000 0.1822 0.0000 x2  2 O 2.11-2.13, 2 N 2.25
Pb1 0.5000 0.3070 0.4725 x2  1 N 2.23
N1 0.5000 0.3557 0.0735 x2  1 Pb 2.23, 2 Er 2.25
O1 0.0000 0.1035 0.6771 x2  2 Er 2.11-2.13

Summary:
Raw total energy = -53.43 eV per cell
Crystal system = orthorhombic
Excess energy over the best structure of this formula in the dataset = 22.09 kJ per mole of atoms